Zr3Cu2Pd4 | PBE | relaxed

Computed properties:
- energy above the lowest structure with this stoichiometry (meV/atom) = 0.0
- ΔH_f (0 K) (eV per atom) = -0.56
- total DFT energy (no corrections) (eV for the cell shown) = -59.7
- space-group type = No. 12

a = 6.9710 Å, b = 6.9710 Å, c = 7.0614 Å
α = 111.72°, β = 111.72°, γ = 28.92°
Atoms (fractional coordinates):
Zr (0.0000, 0.0000, 0.0000)
Zr (0.1348, 0.1348, 0.6627)
Zr (0.8652, 0.8652, 0.3373)
Cu (0.3263, 0.3263, 0.0005)
Cu (0.6737, 0.6737, 0.9995)
Pd (0.2038, 0.2038, 0.3213)
Pd (0.4744, 0.4744, 0.6787)
Pd (0.5256, 0.5256, 0.3213)
Pd (0.7962, 0.7962, 0.6787)